B2PdRu2: optimized geometry, PBE.

a = 6.1497 Å, b = 6.1497 Å, c = 2.8896 Å
α = 90.00°, β = 90.00°, γ = 90.00°
With the nearest neighbours (Å) after each atom.
Positions (direct):
B (0.8732, 0.6268, 0.0000)  1 B 2.21, 6 Ru 2.27-2.37, 2 Pd 2.42
B (0.1268, 0.3732, 0.0000)  1 B 2.21, 6 Ru 2.27-2.37, 2 Pd 2.42
B (0.3732, 0.8732, 0.0000)  1 B 2.21, 6 Ru 2.27-2.37, 2 Pd 2.42
B (0.6268, 0.1268, 0.0000)  1 B 2.21, 6 Ru 2.27-2.37, 2 Pd 2.42
Pd (0.0000, 0.0000, 0.0000)  4 B 2.42
Pd (0.5000, 0.5000, 0.0000)  4 B 2.42
Ru (0.3433, 0.1567, 0.5000)  6 B 2.27-2.37
Ru (0.1567, 0.6567, 0.5000)  6 B 2.27-2.37
Ru (0.8433, 0.3433, 0.5000)  6 B 2.27-2.37
Ru (0.6567, 0.8433, 0.5000)  6 B 2.27-2.37

The value obtained for the calculated formation energy is -9 meV/atom. The calculation puts the density of states at the Fermi level at 8.671 states/eV/cell. The total energy comes out at -74.28 eV/cell. The total magnetization is 0.000 μB/atom. The calculation puts the offset from the most stable computed form at 0.000 eV per atom.